# 1
# SCAN BeCrRh, single point on PBEsol structure
# Formation energy from the elements, eV/atom: -0.270
# Calculated density, g cm⁻³: 8.4
# Fermi-level density of states, states/eV/cell: 3.2
data_BeCrRh
_chemical_formula_sum 'Be2 Cr2 Rh2'
_symmetry_space_group_name_H-M 'I 4 m m'
_symmetry_Int_Tables_number 107
_symmetry_space_group_name_Hall 'I 4 -2'
_cell_length_a 2.711
_cell_length_b 2.711
_cell_length_c 8.779
_cell_angle_alpha 90.00
_cell_angle_beta 90.00
_cell_angle_gamma 90.00
loop_
_atom_site_label
_atom_site_type_symbol
_atom_site_fract_x
_atom_site_fract_y
_atom_site_fract_z
Be1 Be 0.000 0.000 0.000
Cr1 Cr 0.000 0.000 0.340
Rh1 Rh 0.000 0.000 0.656

***

# 2
# SCAN Be3CrRu, single point on PBEsol structure
# Formation energy from the elements, eV/atom: 1.235
# Calculated density, g cm⁻³: 5.3
# Fermi-level density of states, states/eV/cell: 5.9
data_Be3CrRu
_chemical_formula_sum 'Be3 Cr1 Ru1'
_symmetry_space_group_name_H-M 'P m -3 m'
_symmetry_Int_Tables_number 221
_symmetry_space_group_name_Hall '-P 4 2 3'
_cell_length_a 3.833
_cell_length_b 3.833
_cell_length_c 3.833
_cell_angle_alpha 90.00
_cell_angle_beta 90.00
_cell_angle_gamma 90.00
loop_
_atom_site_label
_atom_site_type_symbol
_atom_site_fract_x
_atom_site_fract_y
_atom_site_fract_z
Be1 Be 0.000 0.000 0.500
Cr1 Cr 0.000 0.000 0.000
Ru1 Ru 0.500 0.500 0.500

***

# 3
# SCAN BeCr2Ru, single point on PBEsol structure
# Formation energy from the elements, eV/atom: -0.126
# Calculated density, g cm⁻³: 8.1
# Fermi-level density of states, states/eV/cell: 5.6
data_BeCr2Ru
_chemical_formula_sum 'Be2 Cr4 Ru2'
_symmetry_space_group_name_H-M 'I m m m'
_symmetry_Int_Tables_number 71
_symmetry_space_group_name_Hall '-I 2 2'
_cell_length_a 2.858
_cell_length_b 3.711
_cell_length_c 8.231
_cell_angle_alpha 90.00
_cell_angle_beta 90.00
_cell_angle_gamma 90.00
loop_
_atom_site_label
_atom_site_type_symbol
_atom_site_fract_x
_atom_site_fract_y
_atom_site_fract_z
Be1 Be 0.000 0.000 0.000
Cr1 Cr 0.000 0.500 0.250
Ru1 Ru 0.000 0.000 0.500

***

# 4
# SCAN Be2CrRu, single point on PBEsol structure
# Formation energy from the elements, eV/atom: 0.263
# Calculated density, g cm⁻³: 6.7
# Fermi-level density of states, states/eV/cell: 9.2
data_Be2CrRu
_chemical_formula_sum 'Be8 Cr4 Ru4'
_symmetry_space_group_name_H-M 'I -4 2 d'
_symmetry_Int_Tables_number 122
_symmetry_space_group_name_Hall 'I -4 2bw'
_cell_length_a 5.965
_cell_length_b 5.965
_cell_length_c 4.771
_cell_angle_alpha 90.00
_cell_angle_beta 90.00
_cell_angle_gamma 90.00
loop_
_atom_site_label
_atom_site_type_symbol
_atom_site_fract_x
_atom_site_fract_y
_atom_site_fract_z
Be1 Be 0.247 0.250 0.125
Cr1 Cr 0.000 0.000 0.000
Ru1 Ru 0.000 0.000 0.500

***

# 5
# SCAN Be2CrRu, single point on PBEsol structure
# Formation energy from the elements, eV/atom: -0.150
# Calculated density, g cm⁻³: 7.0
# Fermi-level density of states, states/eV/cell: 4.6
data_Be2CrRu
_chemical_formula_sum 'Be4 Cr2 Ru2'
_symmetry_space_group_name_H-M 'I m m 2'
_symmetry_Int_Tables_number 44
_symmetry_space_group_name_Hall 'I 2 -2'
_cell_length_a 2.839
_cell_length_b 3.821
_cell_length_c 7.430
_cell_angle_alpha 90.00
_cell_angle_beta 90.00
_cell_angle_gamma 90.00
loop_
_atom_site_label
_atom_site_type_symbol
_atom_site_fract_x
_atom_site_fract_y
_atom_site_fract_z
Be1 Be 0.000 0.000 0.000
Be2 Be 0.000 0.500 0.282
Cr1 Cr 0.000 0.500 0.755
Ru1 Ru 0.000 0.000 0.523

***

# 6
# SCAN ZrBeCr2Ru, single point on PBEsol structure
# Formation energy from the elements, eV/atom: 0.627
# Calculated density, g cm⁻³: 6.2
# Fermi-level density of states, states/eV/cell: 3.5
data_ZrBeCr2Ru
_chemical_formula_sum 'Zr1 Be1 Cr2 Ru1'
_symmetry_space_group_name_H-M 'P 4/m m m'
_symmetry_Int_Tables_number 123
_symmetry_space_group_name_Hall '-P 4 2'
_cell_length_a 4.427
_cell_length_b 4.427
_cell_length_c 4.161
_cell_angle_alpha 90.00
_cell_angle_beta 90.00
_cell_angle_gamma 90.00
loop_
_atom_site_label
_atom_site_type_symbol
_atom_site_fract_x
_atom_site_fract_y
_atom_site_fract_z
Zr1 Zr 0.000 0.000 0.000
Be1 Be 0.500 0.500 0.000
Cr1 Cr 0.000 0.500 0.500
Ru1 Ru 0.500 0.500 0.500

***

# 7
# SCAN BeCrS2, single point on PBEsol structure
# Calculated density, g cm⁻³: 3.1
# Fermi-level density of states, states/eV/cell: 1.9
# Formation energy without anion corrections, meV/atom: -932
data_BeCrS2
_chemical_formula_sum 'Be4 Cr4 S8'
_symmetry_space_group_name_H-M 'I -4 2 d'
_symmetry_Int_Tables_number 122
_symmetry_space_group_name_Hall 'I -4 2bw'
_cell_length_a 5.281
_cell_length_b 5.281
_cell_length_c 9.536
_cell_angle_alpha 90.00
_cell_angle_beta 90.00
_cell_angle_gamma 90.00
loop_
_atom_site_label
_atom_site_type_symbol
_atom_site_fract_x
_atom_site_fract_y
_atom_site_fract_z
Be1 Be 0.000 0.000 0.000
Cr1 Cr 0.000 0.000 0.500
S1 S 0.209 0.250 0.125

***

# 8
# SCAN BeCr4Sb, single point on PBEsol structure
# Calculated density, g cm⁻³: 7.4
# Fermi-level density of states, states/eV/cell: 18.1
# Formation energy without anion corrections, meV/atom: 441
data_BeCr4Sb
_chemical_formula_sum 'Be4 Cr16 Sb4'
_symmetry_space_group_name_H-M 'F -4 3 m'
_symmetry_Int_Tables_number 216
_symmetry_space_group_name_Hall 'F -4 2 3'
_cell_length_a 6.736
_cell_length_b 6.736
_cell_length_c 6.736
_cell_angle_alpha 90.00
_cell_angle_beta 90.00
_cell_angle_gamma 90.00
loop_
_atom_site_label
_atom_site_type_symbol
_atom_site_fract_x
_atom_site_fract_y
_atom_site_fract_z
Be1 Be 0.000 0.000 0.000
Cr1 Cr 0.127 0.127 0.373
Sb1 Sb 0.250 0.250 0.750

***

# 9
# SCAN BeCr2Sb, single point on PBEsol structure
# Energy relative to the lowest polymorph listed for this composition, meV/atom: 75
# Calculated density, g cm⁻³: 7.6
# Fermi-level density of states, states/eV/cell: 2.1
# Formation energy without anion corrections, meV/atom: 245
data_BeCr2Sb
_chemical_formula_sum 'Be1 Cr2 Sb1'
_symmetry_space_group_name_H-M 'P 4 m m'
_symmetry_Int_Tables_number 99
_symmetry_space_group_name_Hall 'P 4 -2'
_cell_length_a 3.026
_cell_length_b 3.026
_cell_length_c 5.588
_cell_angle_alpha 90.00
_cell_angle_beta 90.00
_cell_angle_gamma 90.00
loop_
_atom_site_label
_atom_site_type_symbol
_atom_site_fract_x
_atom_site_fract_y
_atom_site_fract_z
Be1 Be 0.000 0.000 0.000
Cr1 Cr 0.000 0.000 0.589
Cr2 Cr 0.500 0.500 0.823
Sb1 Sb 0.500 0.500 0.303

***

# 10
# SCAN BeCr2Sb, single point on PBEsol structure
# Energy relative to the lowest polymorph listed for this composition, meV/atom: 0
# Calculated density, g cm⁻³: 7.3
# Fermi-level density of states, states/eV/cell: 4.8
# Formation energy without anion corrections, meV/atom: 170
data_BeCr2Sb
_chemical_formula_sum 'Be2 Cr4 Sb2'
_symmetry_space_group_name_H-M 'I -4 m 2'
_symmetry_Int_Tables_number 119
_symmetry_space_group_name_Hall 'I -4 -2'
_cell_length_a 3.756
_cell_length_b 3.756
_cell_length_c 7.554
_cell_angle_alpha 90.00
_cell_angle_beta 90.00
_cell_angle_gamma 90.00
loop_
_atom_site_label
_atom_site_type_symbol
_atom_site_fract_x
_atom_site_fract_y
_atom_site_fract_z
Be1 Be 0.000 0.000 0.000
Cr1 Cr 0.000 0.000 0.500
Cr2 Cr 0.000 0.500 0.250
Sb1 Sb 0.000 0.500 0.750

***

# 11
# SCAN Be2CrSb, single point on PBEsol structure
# Calculated density, g cm⁻³: 6.2
# Fermi-level density of states, states/eV/cell: 1.3
# Formation energy without anion corrections, meV/atom: 248
data_Be2CrSb
_chemical_formula_sum 'Be2 Cr1 Sb1'
_symmetry_space_group_name_H-M 'P 4/m m m'
_symmetry_Int_Tables_number 123
_symmetry_space_group_name_Hall '-P 4 2'
_cell_length_a 3.766
_cell_length_b 3.766
_cell_length_c 3.611
_cell_angle_alpha 90.00
_cell_angle_beta 90.00
_cell_angle_gamma 90.00
loop_
_atom_site_label
_atom_site_type_symbol
_atom_site_fract_x
_atom_site_fract_y
_atom_site_fract_z
Be1 Be 0.000 0.500 0.000
Cr1 Cr 0.000 0.000 0.500
Sb1 Sb 0.500 0.500 0.500

***

# 12
# SCAN Sc2BeCr, single point on PBEsol structure
# Formation energy from the elements, eV/atom: 0.384
# Calculated density, g cm⁻³: 3.7
# Fermi-level density of states, states/eV/cell: 10.7
data_Sc2BeCr
_chemical_formula_sum 'Sc6 Be3 Cr3'
_symmetry_space_group_name_H-M 'R -3 m'
_symmetry_Int_Tables_number 166
_symmetry_space_group_name_Hall '-R 3 2"'
_cell_length_a 3.0472
_cell_length_b 3.0472
_cell_length_c 25.1909
_cell_angle_alpha 90.00
_cell_angle_beta 90.00
_cell_angle_gamma 120.00
loop_
_atom_site_label
_atom_site_type_symbol
_atom_site_fract_x
_atom_site_fract_y
_atom_site_fract_z
Sc1 Sc 0.0000 0.0000 0.2490
Be1 Be 0.0000 0.0000 0.5000
Cr1 Cr 0.0000 0.0000 0.0000